An optimized crystal structure of PrNiPd, computed with PBE.

Computed properties:
- Space-group type: R-3m, No. 166
- Total moment: 0.000 μB per atom
- Energy relative to the elements: -44.4 kJ per mole of atoms

Geometry as POSCAR:
```
PrNiPd
1.0
2.1589 1.2464 7.8352
-2.1589 1.2464 7.8352
0.0000 -2.4928 7.8352
Pr Ni Pd
2 2 2
Direct
0.2387 0.2387 0.2387 Pr
0.7613 0.7613 0.7613 Pr
0.3542 0.3542 0.3542 Ni
0.6458 0.6458 0.6458 Ni
0.0000 0.0000 0.0000 Pd
0.5000 0.5000 0.5000 Pd
```